Entry 1:
8
Lattice="-5.107 0.339 7.777 -6.154 -5.872 -3.785 -3.909 -5.372 3.240" Properties=species:S:1:pos:R:3 comment="CsBiTe2 | the Alexandria database | PBE | relaxed" total_energy_ev_per_atom=-2.946 space_group="P4/mmm (123)" formation_energy_uncorrected_ev_per_atom=-0.191 pbc="T T T"
Bi -10.400 -6.836 4.615
Bi -4.769 -4.070 2.618
Te -5.369 -1.214 4.887
Te -5.892 -4.320 -0.894
Te -2.815 -1.383 0.998
Te -8.445 -4.150 2.994
Cs -7.323 -3.900 6.507
Cs -7.846 -7.006 0.726

---

Entry 2:
8
Lattice="9.384 0.000 0.000 0.000 9.384 0.000 4.692 4.692 4.051" Properties=species:S:1:pos:R:3 comment="CsBiTe2 | the Alexandria database | PBE | relaxed" total_energy_ev_per_atom=-3.308 space_group="I4/mcm (140)" formation_energy_uncorrected_ev_per_atom=-0.553 pbc="T T T"
Te 6.325 7.751 0.000
Te 3.059 1.633 0.000
Te 1.633 6.325 0.000
Te 7.751 3.059 0.000
Cs 4.692 4.692 2.026
Cs 9.384 9.384 2.026
Bi 4.692 9.384 2.026
Bi 9.384 4.692 2.026

---

Entry 3:
12
Lattice="4.512 0.000 0.000 0.000 8.191 0.000 0.000 0.000 13.597" Properties=species:S:1:pos:R:3 comment="CsBi2Te3 | the Alexandria database | PBE | relaxed" total_energy_ev_per_atom=-3.386 space_group="Pmc2_1 (26)" formation_energy_uncorrected_ev_per_atom=-0.379 pbc="T T T"
Cs 0.000 0.167 11.804
Cs 0.000 4.262 1.793
Bi 2.256 4.129 6.794
Bi 0.000 4.148 10.484
Bi 0.000 0.052 3.113
Bi 2.256 0.033 6.803
Te 2.256 6.273 4.393
Te 0.000 6.293 8.026
Te 0.000 2.197 5.571
Te 2.256 1.117 1.344
Te 2.256 2.178 9.204
Te 2.256 5.212 12.254

---

Entry 4:
15
Lattice="9.083 0.000 0.000 -4.541 7.864 -0.036 0.000 -5.205 9.230" Properties=species:S:1:pos:R:3 comment="Cs3Th3BiTe8 | the Alexandria database | PBE | relaxed" total_energy_ev_per_atom=-4.622 space_group="R-3m (166)" formation_energy_uncorrected_ev_per_atom=-1.033 pbc="T T T"
Te 2.291 -1.289 2.809
Te 0.000 0.051 6.402
Te 4.542 0.028 6.427
Te 2.251 3.948 6.385
Te -2.251 3.948 6.385
Te 0.000 2.631 2.767
Te 6.793 -1.288 2.809
Te 4.542 2.609 2.792
Cs 0.000 0.000 0.000
Cs -2.271 3.932 -0.018
Cs 2.271 3.932 -0.018
Th 2.271 1.330 4.597
Th -2.271 1.330 4.597
Th 4.542 -2.602 4.615
Bi 0.000 -2.602 4.615

---

Entry 5:
11
Lattice="-4.116 5.475 -5.131 -2.699 -1.828 7.351 7.471 6.377 0.812" Properties=species:S:1:pos:R:3 comment="Cs2ThBi2Te6 | the Alexandria database | PBE | relaxed" total_energy_ev_per_atom=-3.869 space_group="C2/m (12)" formation_energy_uncorrected_ev_per_atom=-0.620 pbc="T T T"
Te 4.162 6.439 -0.241
Te 0.890 3.394 2.908
Te 2.223 9.020 -2.660
Te -3.506 3.585 3.274
Te -1.566 1.005 5.692
Te -0.233 6.630 0.124
Bi 0.793 1.396 0.854
Bi -0.137 8.628 2.179
Cs -2.803 4.017 -0.603
Cs 3.460 6.008 3.636
Th 1.678 5.926 -2.159

---

Entry 6:
12
Lattice="8.318 -0.090 -0.009 -4.235 7.160 -0.009 -1.372 -2.375 8.758" Properties=species:S:1:pos:R:3 comment="Cs3ThBi2Te6 | the Alexandria database | PBE | relaxed" total_energy_ev_per_atom=-3.848 space_group="C2/m (12)" formation_energy_uncorrected_ev_per_atom=-0.799 pbc="T T T"
Cs -2.782 4.736 4.370
Cs 1.355 2.347 4.370
Cs 5.493 -0.043 4.370
Bi -0.025 4.728 -0.009
Bi 4.108 2.341 -0.009
Te -0.007 4.702 7.088
Te 4.076 2.343 7.088
Te 2.718 -0.008 1.651
Te 2.746 4.754 1.665
Te -1.365 2.350 1.651
Te -0.035 -0.060 7.074
Th 0.000 0.000 0.000